1.
## TmFeGe3Os (PBE-GGA)

Data for a geometry-optimized TmFeGe3Os structure.

The space group is Cmcm (No. 63) and the conventional cell measures 7.7020, 11.6435 and 5.4262 Å, with angles of 90.00, 90.00 and 90.00 degrees. Symmetry generates all atoms from Tm at (0.0000, 0.1894, 0.2500), Fe at (0.0000, 0.4558, 0.7500), Ge at (0.0000, 0.2698, 0.7500), Ge at (0.2416, 0.5000, 0.0000) and Os at (0.0000, 0.0693, 0.7500).

As for the formation energy: -0.04 eV per atom. As for the total magnetic moment: 0.79 μB per formula unit. For the total energy, the calculation gives -6.38 eV per atom.


2.
## Ba2MgUO6 (PBE-GGA)

Data for a geometry-optimized Ba2MgUO6 structure.

The space group is Fm-3m (No. 225) and the conventional cell measures 8.4754, 8.4754 and 8.4754 Å, with angles of 90.00, 90.00 and 90.00 degrees. Symmetry generates all atoms from Ba at (0.2500, 0.2500, 0.2500), Mg at (0.0000, 0.0000, 0.0000), U at (0.0000, 0.0000, 0.5000) and O at (0.0000, 0.0000, 0.2527).

As for the total magnetic moment: 0.00 μB per formula unit. The value obtained for the energy relative to the elements, uncorrected is -3.04 eV per atom. For the total energy, the calculation gives -7.69 eV per atom.